DyNi2Sb2: single point on PBEsol structure, SCAN.

## Properties
- magnetization (μB/f.u.) = 0.000
- space-group type = P4/nmm (129)
- E_form (uncorrected) (eV per atom) = -0.6199

The structure in CIF format:
```
data_DyNi2Sb2
_chemical_formula_sum 'Dy2 Ni4 Sb4'
_cell_length_a 4.3708
_cell_length_b 4.3708
_cell_length_c 9.7733
_cell_angle_alpha 90.00
_cell_angle_beta 90.00
_cell_angle_gamma 90.00
_symmetry_space_group_name_H-M 'P 1'
_symmetry_Int_Tables_number 1
loop_
_symmetry_equiv_pos_as_xyz
'x,y,z'
loop_
_atom_site_label
_atom_site_type_symbol
_atom_site_fract_x
_atom_site_fract_y
_atom_site_fract_z
Dy1 Dy 0.2500 0.2500 0.2355
Dy2 Dy 0.7500 0.7500 0.7645
Ni1 Ni 0.2500 0.2500 0.6263
Ni2 Ni 0.2500 0.7500 0.0000
Ni3 Ni 0.7500 0.2500 0.0000
Ni4 Ni 0.7500 0.7500 0.3737
Sb1 Sb 0.2500 0.2500 0.8739
Sb2 Sb 0.2500 0.7500 0.5000
Sb3 Sb 0.7500 0.2500 0.5000
Sb4 Sb 0.7500 0.7500 0.1261
```

Dy5Ni2Sb: single point on PBEsol structure, SCAN.

## Properties
- magnetization (μB/f.u.) = 0.000
- space-group type = I4/mcm (140)
- E_form (uncorrected) (eV per atom) = -0.5866

The structure in CIF format:
```
data_Dy5Ni2Sb
_chemical_formula_sum 'Dy10 Ni4 Sb2'
_cell_length_a 8.4230
_cell_length_b 8.4230
_cell_length_c 8.4230
_cell_angle_alpha 126.93
_cell_angle_beta 126.93
_cell_angle_gamma 78.37
_symmetry_space_group_name_H-M 'P 1'
_symmetry_Int_Tables_number 1
loop_
_symmetry_equiv_pos_as_xyz
'x,y,z'
loop_
_atom_site_label
_atom_site_type_symbol
_atom_site_fract_x
_atom_site_fract_y
_atom_site_fract_z
Dy1 Dy 0.0000 0.0000 0.0000
Dy2 Dy 0.0206 0.5206 0.8146
Dy3 Dy 0.2060 0.0206 0.5000
Dy4 Dy 0.2940 0.7940 0.8146
Dy5 Dy 0.4794 0.2940 0.5000
Dy6 Dy 0.5000 0.5000 0.0000
Dy7 Dy 0.5206 0.7060 0.5000
Dy8 Dy 0.7060 0.2060 0.1854
Dy9 Dy 0.7940 0.9794 0.5000
Dy10 Dy 0.9794 0.4794 0.1854
Ni1 Ni 0.1296 0.3704 0.5000
Ni2 Ni 0.3704 0.8704 0.2408
Ni3 Ni 0.6296 0.1296 0.7592
Ni4 Ni 0.8704 0.6296 0.5000
Sb1 Sb 0.2500 0.2500 0.0000
Sb2 Sb 0.7500 0.7500 0.0000
```